Entry 1:
# PBE Ce3TlPt, relaxed
# total moment = 2.4 μB/f.u.
# calculated formation energy = -0.44 eV/atom
# crystal system = orthorhombic
data_Ce3TlPt
_cell_length_a 9.953
_cell_length_b 5.068
_cell_length_c 11.073
_cell_angle_alpha 90.00
_cell_angle_beta 90.00
_cell_angle_gamma 90.00
_space_group_name_H-M_alt 'P 1'
_space_group_IT_number 1
loop_
_space_group_symop_operation_xyz
'x,y,z'
loop_
_atom_site_label
_atom_site_type_symbol
_atom_site_fract_x
_atom_site_fract_y
_atom_site_fract_z
_atom_site_occupancy
Ce1 Ce 0.115 0.250 0.082 1
Ce2 Ce 0.116 0.750 0.671 1
Ce3 Ce 0.174 0.750 0.314 1
Ce4 Ce 0.326 0.250 0.814 1
Ce5 Ce 0.384 0.250 0.171 1
Ce6 Ce 0.385 0.750 0.582 1
Ce7 Ce 0.615 0.250 0.418 1
Ce8 Ce 0.616 0.750 0.829 1
Ce9 Ce 0.674 0.750 0.186 1
Ce10 Ce 0.826 0.250 0.686 1
Ce11 Ce 0.884 0.250 0.329 1
Ce12 Ce 0.885 0.750 0.918 1
Tl1 Tl 0.185 0.250 0.496 1
Tl2 Tl 0.315 0.750 0.996 1
Tl3 Tl 0.685 0.250 0.004 1
Tl4 Tl 0.815 0.750 0.504 1
Pt1 Pt 0.047 0.250 0.831 1
Pt2 Pt 0.453 0.750 0.331 1
Pt3 Pt 0.547 0.250 0.669 1
Pt4 Pt 0.953 0.750 0.169 1



Entry 2:
# PBE Ce2TlPt, relaxed
# total moment = 1.8 μB/f.u.
# calculated formation energy = -0.54 eV/atom
# crystal system = trigonal
data_Ce2TlPt
_cell_length_a 8.816
_cell_length_b 8.816
_cell_length_c 8.816
_cell_angle_alpha 26.21
_cell_angle_beta 26.21
_cell_angle_gamma 26.21
_space_group_name_H-M_alt 'P 1'
_space_group_IT_number 1
loop_
_space_group_symop_operation_xyz
'x,y,z'
loop_
_atom_site_label
_atom_site_type_symbol
_atom_site_fract_x
_atom_site_fract_y
_atom_site_fract_z
_atom_site_occupancy
Ce1 Ce 0.000 0.000 0.000 1
Ce2 Ce 0.198 0.198 0.198 1
Tl1 Tl 0.432 0.432 0.432 1
Pt1 Pt 0.600 0.600 0.600 1



Entry 3:
# PBE Ce3Tl5Pt12, relaxed
# total moment = 0.0 μB/f.u.
# calculated formation energy = -0.16 eV/atom
# crystal system = cubic
data_Ce3Tl5Pt12
_cell_length_a 13.906
_cell_length_b 13.906
_cell_length_c 13.906
_cell_angle_alpha 109.47
_cell_angle_beta 109.47
_cell_angle_gamma 109.47
_space_group_name_H-M_alt 'P 1'
_space_group_IT_number 1
loop_
_space_group_symop_operation_xyz
'x,y,z'
loop_
_atom_site_label
_atom_site_type_symbol
_atom_site_fract_x
_atom_site_fract_y
_atom_site_fract_z
_atom_site_occupancy
Ce1 Ce 0.125 0.250 0.375 1
Ce2 Ce 0.125 0.375 0.750 1
Ce3 Ce 0.250 0.375 0.125 1
Ce4 Ce 0.250 0.875 0.625 1
Ce5 Ce 0.375 0.125 0.250 1
Ce6 Ce 0.375 0.750 0.125 1
Ce7 Ce 0.625 0.250 0.875 1
Ce8 Ce 0.625 0.875 0.750 1
Ce9 Ce 0.750 0.125 0.375 1
Ce10 Ce 0.750 0.625 0.875 1
Ce11 Ce 0.875 0.625 0.250 1
Ce12 Ce 0.875 0.750 0.625 1
Tl1 Tl 0.000 0.000 0.000 1
Tl2 Tl 0.000 0.000 0.500 1
Tl3 Tl 0.000 0.500 0.000 1
Tl4 Tl 0.000 0.500 0.500 1
Tl5 Tl 0.125 0.750 0.875 1
Tl6 Tl 0.125 0.875 0.250 1
Tl7 Tl 0.250 0.125 0.875 1
Tl8 Tl 0.250 0.625 0.375 1
Tl9 Tl 0.375 0.250 0.625 1
Tl10 Tl 0.375 0.625 0.750 1
Tl11 Tl 0.500 0.000 0.000 1
Tl12 Tl 0.500 0.000 0.500 1
Tl13 Tl 0.500 0.500 0.000 1
Tl14 Tl 0.500 0.500 0.500 1
Tl15 Tl 0.625 0.375 0.250 1
Tl16 Tl 0.625 0.750 0.375 1
Tl17 Tl 0.750 0.375 0.625 1
Tl18 Tl 0.750 0.875 0.125 1
Tl19 Tl 0.875 0.125 0.750 1
Tl20 Tl 0.875 0.250 0.125 1
Pt1 Pt 0.071 0.226 0.153 1
Pt2 Pt 0.071 0.345 0.919 1
Pt3 Pt 0.073 0.726 0.655 1
Pt4 Pt 0.073 0.847 0.419 1
Pt5 Pt 0.081 0.653 0.427 1
Pt6 Pt 0.081 0.929 0.655 1
Pt7 Pt 0.153 0.071 0.226 1
Pt8 Pt 0.153 0.581 0.927 1
Pt9 Pt 0.155 0.226 0.573 1
Pt10 Pt 0.155 0.429 0.581 1
Pt11 Pt 0.226 0.153 0.071 1
Pt12 Pt 0.226 0.573 0.155 1
Pt13 Pt 0.274 0.345 0.927 1
Pt14 Pt 0.274 0.429 0.347 1
Pt15 Pt 0.345 0.919 0.071 1
Pt16 Pt 0.345 0.927 0.274 1
Pt17 Pt 0.347 0.274 0.429 1
Pt18 Pt 0.347 0.573 0.919 1
Pt19 Pt 0.419 0.073 0.847 1
Pt20 Pt 0.419 0.845 0.571 1
Pt21 Pt 0.427 0.081 0.653 1
Pt22 Pt 0.427 0.845 0.774 1
Pt23 Pt 0.429 0.347 0.274 1
Pt24 Pt 0.429 0.581 0.155 1
Pt25 Pt 0.571 0.419 0.845 1
Pt26 Pt 0.571 0.653 0.726 1
Pt27 Pt 0.573 0.155 0.226 1
Pt28 Pt 0.573 0.919 0.347 1
Pt29 Pt 0.581 0.155 0.429 1
Pt30 Pt 0.581 0.927 0.153 1
Pt31 Pt 0.653 0.427 0.081 1
Pt32 Pt 0.653 0.726 0.571 1
Pt33 Pt 0.655 0.073 0.726 1
Pt34 Pt 0.655 0.081 0.929 1
Pt35 Pt 0.726 0.571 0.653 1
Pt36 Pt 0.726 0.655 0.073 1
Pt37 Pt 0.774 0.427 0.845 1
Pt38 Pt 0.774 0.847 0.929 1
Pt39 Pt 0.845 0.571 0.419 1
Pt40 Pt 0.845 0.774 0.427 1
Pt41 Pt 0.847 0.419 0.073 1
Pt42 Pt 0.847 0.929 0.774 1
Pt43 Pt 0.919 0.071 0.345 1
Pt44 Pt 0.919 0.347 0.573 1
Pt45 Pt 0.927 0.153 0.581 1
Pt46 Pt 0.927 0.274 0.345 1
Pt47 Pt 0.929 0.655 0.081 1
Pt48 Pt 0.929 0.774 0.847 1



Entry 4:
# PBE CeTl2Pt, relaxed
# total moment = 0.8 μB/f.u.
# calculated formation energy = 0.17 eV/atom
# crystal system = trigonal
data_CeTl2Pt
_cell_length_a 11.131
_cell_length_b 11.131
_cell_length_c 11.131
_cell_angle_alpha 16.89
_cell_angle_beta 16.89
_cell_angle_gamma 16.89
_space_group_name_H-M_alt 'P 1'
_space_group_IT_number 1
loop_
_space_group_symop_operation_xyz
'x,y,z'
loop_
_atom_site_label
_atom_site_type_symbol
_atom_site_fract_x
_atom_site_fract_y
_atom_site_fract_z
_atom_site_occupancy
Ce1 Ce 0.000 0.000 0.000 1
Tl1 Tl 0.098 0.098 0.098 1
Tl2 Tl 0.902 0.902 0.902 1
Pt1 Pt 0.500 0.500 0.500 1



Entry 5:
# PBE Ce5TlPt3, relaxed
# total moment = 4.6 μB/f.u.
# calculated formation energy = -0.66 eV/atom
# crystal system = hexagonal
data_Ce5TlPt3
_cell_length_a 9.247
_cell_length_b 9.247
_cell_length_c 5.796
_cell_angle_alpha 90.00
_cell_angle_beta 90.00
_cell_angle_gamma 120.00
_space_group_name_H-M_alt 'P 1'
_space_group_IT_number 1
loop_
_space_group_symop_operation_xyz
'x,y,z'
loop_
_atom_site_label
_atom_site_type_symbol
_atom_site_fract_x
_atom_site_fract_y
_atom_site_fract_z
_atom_site_occupancy
Ce1 Ce 0.000 0.331 0.250 1
Ce2 Ce 0.000 0.669 0.750 1
Ce3 Ce 0.331 0.000 0.250 1
Ce4 Ce 0.331 0.331 0.750 1
Ce5 Ce 0.333 0.667 0.000 1
Ce6 Ce 0.333 0.667 0.500 1
Ce7 Ce 0.667 0.333 0.000 1
Ce8 Ce 0.667 0.333 0.500 1
Ce9 Ce 0.669 0.000 0.750 1
Ce10 Ce 0.669 0.669 0.250 1
Tl1 Tl 0.000 0.000 0.000 1
Tl2 Tl 0.000 0.000 0.500 1
Pt1 Pt 0.000 0.342 0.750 1
Pt2 Pt 0.000 0.658 0.250 1
Pt3 Pt 0.342 0.000 0.750 1
Pt4 Pt 0.342 0.342 0.250 1
Pt5 Pt 0.658 0.000 0.250 1
Pt6 Pt 0.658 0.658 0.750 1



Entry 6:
# PBE Ce2Tl2Pt15, relaxed
# total moment = 0.6 μB/f.u.
# calculated formation energy = -0.42 eV/atom
# crystal system = trigonal
data_Ce2Tl2Pt15
_cell_length_a 7.085
_cell_length_b 7.085
_cell_length_c 7.085
_cell_angle_alpha 84.05
_cell_angle_beta 84.05
_cell_angle_gamma 84.05
_space_group_name_H-M_alt 'P 1'
_space_group_IT_number 1
loop_
_space_group_symop_operation_xyz
'x,y,z'
loop_
_atom_site_label
_atom_site_type_symbol
_atom_site_fract_x
_atom_site_fract_y
_atom_site_fract_z
_atom_site_occupancy
Ce1 Ce 0.143 0.143 0.143 1
Ce2 Ce 0.857 0.857 0.857 1
Tl1 Tl 0.394 0.394 0.394 1
Tl2 Tl 0.606 0.606 0.606 1
Pt1 Pt 0.000 0.500 0.500 1
Pt2 Pt 0.159 0.159 0.674 1
Pt3 Pt 0.159 0.674 0.159 1
Pt4 Pt 0.170 0.500 0.830 1
Pt5 Pt 0.170 0.830 0.500 1
Pt6 Pt 0.326 0.841 0.841 1
Pt7 Pt 0.500 0.000 0.500 1
Pt8 Pt 0.500 0.170 0.830 1
Pt9 Pt 0.500 0.500 0.000 1
Pt10 Pt 0.500 0.830 0.170 1
Pt11 Pt 0.674 0.159 0.159 1
Pt12 Pt 0.830 0.170 0.500 1
Pt13 Pt 0.830 0.500 0.170 1
Pt14 Pt 0.841 0.326 0.841 1
Pt15 Pt 0.841 0.841 0.326 1



Entry 7:
# PBE CeTlPt2, relaxed
# total moment = 0.7 μB/f.u.
# calculated formation energy = -0.55 eV/atom
# crystal system = tetragonal
data_CeTlPt2
_cell_length_a 4.779
_cell_length_b 4.779
_cell_length_c 3.754
_cell_angle_alpha 90.00
_cell_angle_beta 90.00
_cell_angle_gamma 90.00
_space_group_name_H-M_alt 'P 1'
_space_group_IT_number 1
loop_
_space_group_symop_operation_xyz
'x,y,z'
loop_
_atom_site_label
_atom_site_type_symbol
_atom_site_fract_x
_atom_site_fract_y
_atom_site_fract_z
_atom_site_occupancy
Ce1 Ce 0.000 0.000 0.000 1
Tl1 Tl 0.500 0.500 0.000 1
Pt1 Pt 0.000 0.500 0.500 1
Pt2 Pt 0.500 0.000 0.500 1



Entry 8:
# PBE Ce2TlPt9, relaxed
# total moment = 0.0 μB/f.u.
# calculated formation energy = -0.70 eV/atom
# crystal system = tetragonal
data_Ce2TlPt9
_cell_length_a 4.152
_cell_length_b 4.152
_cell_length_c 12.406
_cell_angle_alpha 90.00
_cell_angle_beta 90.00
_cell_angle_gamma 90.00
_space_group_name_H-M_alt 'P 1'
_space_group_IT_number 1
loop_
_space_group_symop_operation_xyz
'x,y,z'
loop_
_atom_site_label
_atom_site_type_symbol
_atom_site_fract_x
_atom_site_fract_y
_atom_site_fract_z
_atom_site_occupancy
Ce1 Ce 0.000 0.000 0.169 1
Ce2 Ce 0.000 0.000 0.831 1
Tl1 Tl 0.000 0.000 0.500 1
Pt1 Pt 0.000 0.500 0.000 1
Pt2 Pt 0.000 0.500 0.332 1
Pt3 Pt 0.000 0.500 0.668 1
Pt4 Pt 0.500 0.000 0.000 1
Pt5 Pt 0.500 0.000 0.332 1
Pt6 Pt 0.500 0.000 0.668 1
Pt7 Pt 0.500 0.500 0.168 1
Pt8 Pt 0.500 0.500 0.500 1
Pt9 Pt 0.500 0.500 0.832 1



Entry 9:
# PBE Ce2TlPt, relaxed
# total moment = 1.7 μB/f.u.
# calculated formation energy = -0.57 eV/atom
# crystal system = trigonal
data_Ce2TlPt
_cell_length_a 8.735
_cell_length_b 8.735
_cell_length_c 8.735
_cell_angle_alpha 26.50
_cell_angle_beta 26.50
_cell_angle_gamma 26.50
_space_group_name_H-M_alt 'P 1'
_space_group_IT_number 1
loop_
_space_group_symop_operation_xyz
'x,y,z'
loop_
_atom_site_label
_atom_site_type_symbol
_atom_site_fract_x
_atom_site_fract_y
_atom_site_fract_z
_atom_site_occupancy
Ce1 Ce 0.235 0.235 0.235 1
Ce2 Ce 0.765 0.765 0.765 1
Tl1 Tl 0.000 0.000 0.000 1
Pt1 Pt 0.500 0.500 0.500 1



Entry 10:
# PBE Ce2TlPt, relaxed
# total moment = 1.4 μB/f.u.
# calculated formation energy = -0.63 eV/atom
# crystal system = orthorhombic
data_Ce2TlPt
_cell_length_a 7.114
_cell_length_b 3.675
_cell_length_c 7.697
_cell_angle_alpha 90.00
_cell_angle_beta 90.00
_cell_angle_gamma 90.00
_space_group_name_H-M_alt 'P 1'
_space_group_IT_number 1
loop_
_space_group_symop_operation_xyz
'x,y,z'
loop_
_atom_site_label
_atom_site_type_symbol
_atom_site_fract_x
_atom_site_fract_y
_atom_site_fract_z
_atom_site_occupancy
Ce1 Ce 0.036 0.000 0.212 1
Ce2 Ce 0.464 0.000 0.212 1
Ce3 Ce 0.536 0.000 0.788 1
Ce4 Ce 0.964 0.000 0.788 1
Tl1 Tl 0.250 0.500 0.525 1
Tl2 Tl 0.750 0.500 0.475 1
Pt1 Pt 0.250 0.500 0.939 1
Pt2 Pt 0.750 0.500 0.061 1



Question: Which formula does entry 1 have?
Answer: Ce3TlPt



Question: Look up the total moment of the eighth one.
Answer: 0.0 μB/f.u.



Question: calculated formation energy of number 10 (Ce2TlPt)?
Answer: -0.63 eV/atom